This record from the Alexandria database describes a geometry-optimized InTcTe structure. The functional is PBE-GGA.

```
InTcTe
1.0
6.8294 0.0013 0.0000
5.3044 4.3017 0.0000
-6.0669 -2.1515 2.2814
Tc In Te
1 1 1
direct
0.3223 0.3223 0.0000
0.9692 0.9692 0.0000
0.7085 0.7085 0.0000
```

energy relative to the elements, uncorrected: 0.11 eV/atom
VASP energy: -5.306 eV per atom
Fermi-level density of states: 0.435 states/eV/atom
SG: I4mm (107)
energy above the lowest structure with this stoichiometry: 0 meV per atom
size of the total moment: 0.00 Bohr magnetons per cell